Record 1
A geometry-optimized DyMg2NpN4 structure. Source: the Alexandria database, functional PBE.

Results
For the calculated density, the calculation gives 8.1 g/cm3. For the raw formation energy, the calculation gives -1118 meV/atom. As for the density of states at the Fermi level: 2.773 states/eV/cell. The total energy comes out at -7.872 eV per atom.

a b c (Å): 5.5516 3.3920 5.8365
angles (deg): 90.00 109.77 90.00
Space group P2/m (No. 10)
One atom of each set of equivalent atoms:
Dy  0.0000  0.0000  0.0000 (multiplicity 1)
Mg  0.5000  0.0000  0.5000 (multiplicity 1)
Mg  0.5000  0.5000  0.0000 (multiplicity 1)
Np  0.0000  0.5000  0.5000 (multiplicity 1)
N  0.2341  0.5000  0.2707 (multiplicity 2)
N  0.2491  0.0000  0.7416 (multiplicity 2)



Record 2
A geometry-optimized YCo2Cu structure. Source: the Alexandria database, functional PBE.

Results
For the calculated density, the calculation gives 7.4 g/cm3. As for the density of states at the Fermi level: 12.491 states/eV/cell. The total energy comes out at -6.009 eV per atom. For the distance to the lowest polymorph of the same formula, the calculation gives 290.7 meV/atom. The energy of formation from the pure elements comes out at 0.7 eV/f.u.

a b c (Å): 3.9077 3.9191 7.9206
angles (deg): 90.00 90.00 90.00
Space group Immm (No. 71)
One atom of each set of equivalent atoms:
Y  0.0000  0.0000  0.0000 (multiplicity 2)
Co  0.0000  0.5000  0.2498 (multiplicity 4)
Cu  0.0000  0.0000  0.5000 (multiplicity 2)